Record 1
A plane-wave DFT calculation with PBE was carried out for a geometry-optimized Ce2TlAu structure.

Output
- Total moment: 2.07 μB/cell
- ΔE_f: -375 meV per atom

Cell and atoms, written as POSCAR:
```
Ce2TlAu
1.0
4.504 0.000 0.000
0.000 4.796 0.000
0.000 0.000 4.796
Ce Au Tl
2 1 1
Cartesian
0.000 2.398 0.000 Ce
0.000 0.000 2.398 Ce
2.252 0.000 0.000 Au
2.252 2.398 2.398 Tl
```

***

Record 2
A plane-wave DFT calculation with PBE was carried out for a geometry-optimized SrPuBi2O6 structure.

Output
- Total moment: 4.00 μB/cell
- ΔE_f (raw): -199 kJ per mole of atoms

Cell and atoms, written as POSCAR:
```
SrPuBi2O6
1.0
-3.661 2.876 -3.966
-4.353 -3.110 -2.966
-6.045 0.956 1.552
O Bi Pu Sr
6 2 1 1
Cartesian
-7.771 2.246 -1.983 O
-6.316 -2.086 -3.262 O
-4.589 1.317 -2.673 O
-7.535 1.040 -5.172 O
-6.901 -0.093 -0.606 O
-9.062 -0.252 -2.452 O
-5.858 0.899 1.343 Bi
-6.769 0.276 -2.989 Bi
-2.845 -0.024 -2.111 Pu
-10.027 0.381 -4.626 Sr
```

***

Record 3
A plane-wave DFT calculation with PBE was carried out for a geometry-optimized K3Ac3TiSe8 structure.

Output
- Total moment: 0.00 μB/cell
- ΔE_f (raw): -155 kJ per mole of atoms

Cell and atoms, written as POSCAR:
```
K3Ac3TiSe8
1.0
8.794 0.001 0.000
-4.396 7.619 -0.029
0.000 -5.051 7.863
Se K Ti Ac
8 3 1 3
Cartesian
-2.499 4.003 5.425 Se
0.000 -0.328 5.441 Se
4.397 2.896 2.393 Se
0.000 2.547 2.161 Se
6.897 -1.435 2.409 Se
1.897 -1.435 2.409 Se
2.500 4.003 5.425 Se
4.397 0.021 5.674 Se
0.000 0.000 0.000 K
2.199 3.810 -0.014 K
-2.198 3.809 -0.014 K
0.000 -2.526 3.931 Ti
-2.198 1.284 3.917 Ac
2.199 1.284 3.917 Ac
4.397 -2.525 3.931 Ac
```

***

Record 4
A plane-wave DFT calculation with PBE was carried out for a geometry-optimized ScGa2FeSi structure.

Output
- Total moment: 1.75 μB/cell
- ΔE_f (raw): 108 kJ per mole of atoms

Cell and atoms, written as POSCAR:
```
ScGa2FeSi
1.0
-3.034 -0.893 -4.096
1.317 -4.180 -0.064
-3.893 -1.275 3.162
Ga Fe Si Sc
2 1 1 1
Cartesian
-1.517 -0.446 -2.048 Ga
-1.946 -0.638 1.581 Ga
0.659 -2.090 -0.032 Fe
-2.805 -3.174 -0.499 Si
0.000 0.000 0.000 Sc
```

***

Record 5
A plane-wave DFT calculation with PBE was carried out for a geometry-optimized NaTlH structure.

Output
- E above lowest polymorph: 0.109 eV per atom
- Total moment: 0.00 μB/cell

Cell and atoms, written as POSCAR:
```
NaTlH
1.0
5.868 0.000 0.000
0.000 3.547 0.000
0.000 -1.773 3.071
Na H Tl
1 1 1
Cartesian
4.657 1.773 1.024 Na
5.314 0.000 0.000 H
1.767 0.000 2.048 Tl
```

***

Record 6
A plane-wave DFT calculation with PBE was carried out for a geometry-optimized NdPa2MnN5 structure.

Output
- Total moment: 6.00 μB/cell
- ΔE_f (raw): -125 kJ per mole of atoms

Cell and atoms, written as POSCAR:
```
NdPa2MnN5
1.0
5.634 0.000 0.000
0.000 6.573 0.000
0.000 0.000 6.573
Mn N Pa Nd
2 10 4 2
Cartesian
0.000 0.000 3.287 Mn
0.000 3.287 0.000 Mn
1.355 4.254 5.606 N
4.280 0.967 4.254 N
1.355 5.606 2.320 N
4.280 5.606 2.320 N
4.280 2.320 0.967 N
4.280 4.254 5.606 N
1.355 0.967 4.254 N
1.355 2.320 0.967 N
2.817 0.000 0.000 N
2.817 3.287 3.287 N
2.817 5.438 4.422 Pa
2.817 2.151 5.438 Pa
2.817 4.422 1.136 Pa
2.817 1.136 2.151 Pa
0.000 3.287 3.287 Nd
0.000 0.000 0.000 Nd
```